# Sm3SbSe3 | the Alexandria database | PBE | relaxed
# E_form (uncorrected) = -10.945 eV per formula unit
# calculated volume = 31.37 A^3/atom
# total magnetization = 0.0 μB per formula unit
data_Sm3SbSe3
_chemical_formula_sum 'Sm18 Sb6 Se18'
_space_group_name_H-M_alt 'R -3'
_space_group_IT_number 148
_space_group_name_Hall '-R 3'
_cell_length_a 8.4520
_cell_length_b 8.4520
_cell_length_c 21.3003
_cell_angle_alpha 90.00
_cell_angle_beta 90.00
_cell_angle_gamma 120.00
loop_
_atom_site_label
_atom_site_type_symbol
_atom_site_fract_x
_atom_site_fract_y
_atom_site_fract_z
Sm1 Sm 0.0131 0.3911 0.4116
Sb1 Sb 0.0000 0.0000 0.1656
Se1 Se 0.0157 0.2791 0.6090